First-principles (PBE) data for a geometry-optimized Y6Cd5Pd structure, as listed in Alexandria.

## Properties
Calculated volume: 612.5 Å³ per cell
Formation enthalpy at 0 K: -0.429 eV per atom

abc: 5.2432 15.7320 7.4255
angles: 90.00 90.00 90.00
Space group Cmmm (No. 65)
Asymmetric unit:
1 Y 0.0000 0.0000 0.2379 [4 per cell]
2 Y 0.0000 0.3399 0.2443 [8 per cell]
3 Cd 0.0000 0.1700 0.5000 [4 per cell]
4 Cd 0.0000 0.1741 0.0000 [4 per cell]
5 Cd 0.0000 0.5000 0.5000 [2 per cell]
6 Pd 0.0000 0.5000 0.0000 [2 per cell]